This record from Alexandria describes an optimized crystal structure of VBi2O6. The functional is GGA+U.

Structure (POSCAR):
```
VBi2O6
1.0
5.542 0.000 0.000
0.000 5.549 0.000
0.000 0.000 8.975
V Bi O
2 4 12
direct
0.000 0.000 0.000
0.500 0.500 0.500
0.000 0.500 0.298
0.000 0.500 0.702
0.500 0.000 0.202
0.500 0.000 0.798
0.144 0.198 0.154
0.144 0.198 0.846
0.211 0.325 0.500
0.289 0.825 0.000
0.356 0.698 0.346
0.356 0.698 0.654
0.644 0.302 0.346
0.644 0.302 0.654
0.711 0.175 0.000
0.789 0.675 0.500
0.856 0.802 0.154
0.856 0.802 0.846
```

Output
Symmetry: Pnnm
Uncorrected energy (eV per cell): -114.1
V (Å³/cell): 276.0